# 1
4
Lattice="-2.1259 2.1259 4.3542 2.1259 -2.1259 4.3542 2.1259 2.1259 -4.3542" Properties=species:S:1:pos:R:3 comment="ZrIn2Tc, optimized geometry, DFT GGA-PBE" formation_energy_ev_per_atom=0.031 volume_a3_per_atom=19.68 polymorph_energy_ev_per_atom=0.089 dos_at_fermi_per_ev_atom=0.774 e_tot_ev_per_fu=-24.3 pbc="T T T"
Zr 0.0000 0.0000 0.0000
In 2.1259 0.0000 2.1771
In 0.0000 2.1259 2.1771
Tc 0.0000 0.0000 4.3542

---

# 2
19
Lattice="5.7389 3.3134 3.1216 -5.7389 3.3134 3.1216 0.0000 -6.6267 3.1216" Properties=species:S:1:pos:R:3 comment="NbTe6O12, optimized geometry, DFT GGA-PBE" formation_energy_uncorrected_ev_per_atom=-1.047 volume_a3_per_atom=18.74 dos_at_fermi_per_ev_atom=0.298 e_tot_ev_per_fu=-108.3 pbc="T T T"
Nb 0.0000 0.0000 0.0000
Te -1.2293 -1.7097 3.0136
Te -0.8660 1.9195 3.0136
Te 2.0953 -0.2097 3.0136
Te -2.0953 0.2097 6.3512
Te 0.8660 -1.9195 6.3512
Te 1.2293 1.7097 6.3512
O -4.5380 -2.2105 5.0629
O -2.6383 -0.5105 3.6398
O -0.3547 -5.0353 4.3020
O -4.1833 2.8248 4.3020
O -0.8771 -2.5401 5.7251
O 1.7613 -2.0296 3.6398
O -1.7613 2.0296 5.7251
O 0.8771 2.5401 3.6398
O 4.1833 -2.8248 5.0629
O 0.3547 5.0353 5.0629
O 2.6383 0.5105 5.7251
O 4.5380 2.2105 4.3020

---

# 3
4
Lattice="2.7961 0.0000 0.0000 0.0000 2.7961 0.0000 0.0000 0.0000 6.6892" Properties=species:S:1:pos:R:3 comment="AlFeOs2, optimized geometry, DFT GGA-PBE" formation_energy_ev_per_atom=-0.077 volume_a3_per_atom=13.07 dos_at_fermi_per_ev_atom=0.822 e_tot_ev_per_fu=-35.0 pbc="T T T"
Al 0.0000 0.0000 0.0000
Fe 1.3980 1.3980 1.4661
Os 0.0000 0.0000 3.1322
Os 1.3980 1.3980 4.9493

---

# 4
4
Lattice="2.8211 0.0000 0.0000 0.0000 2.8211 0.0000 0.0000 0.0000 8.3650" Properties=species:S:1:pos:R:3 comment="SiMoAu2, optimized geometry, DFT GGA-PBE" formation_energy_uncorrected_ev_per_atom=0.299 volume_a3_per_atom=16.64 dos_at_fermi_per_ev_atom=0.389 e_tot_ev_per_fu=-21.6 pbc="T T T"
Si 0.0000 0.0000 0.0000
Mo 0.0000 0.0000 4.1825
Au 1.4106 1.4106 2.0744
Au 1.4106 1.4106 6.2906

---

# 5
8
Lattice="-4.5014 4.5014 4.5014 4.5014 -4.5014 4.5014 4.5014 4.5014 -4.5014" Properties=species:S:1:pos:R:3 comment="YHg, optimized geometry, DFT GGA-PBE" formation_energy_ev_per_atom=0.342 volume_a3_per_atom=45.61 e_tot_ev_per_fu=-6.1 pbc="T T T"
Y 2.7728 2.7728 -2.7728
Y 2.7728 -2.7728 2.7728
Y 1.7286 1.7286 1.7286
Y -2.7728 2.7728 2.7728
Hg 1.1147 1.1147 -1.1147
Hg 1.1147 -1.1147 1.1147
Hg -1.1147 1.1147 1.1147
Hg 3.3867 3.3867 3.3867

---

# 6
4
Lattice="3.1737 0.0000 0.0000 0.0000 3.1737 0.0000 0.0000 0.0000 8.8855" Properties=species:S:1:pos:R:3 comment="Y2RhW, optimized geometry, DFT GGA-PBE" formation_energy_ev_per_atom=-0.001 volume_a3_per_atom=22.38 polymorph_energy_ev_per_atom=0.025 dos_at_fermi_per_ev_atom=0.750 e_tot_ev_per_fu=-33.2 pbc="T T T"
Y 0.0000 0.0000 0.0000
Y 1.5869 1.5869 3.2067
Rh 0.0000 0.0000 5.3228
W 1.5869 1.5869 6.7387

---

# 7
11
Lattice="-1.9214 1.9214 11.6093 1.9214 -1.9214 11.6093 1.9214 1.9214 -11.6093" Properties=species:S:1:pos:R:3 comment="Sm2Ti2S2O5, optimized geometry, DFT GGA-PBE" formation_energy_uncorrected_ev_per_atom=-2.886 volume_a3_per_atom=15.58 e_tot_ev_per_fu=-90.0 pbc="T T T"
Sm 0.0000 0.0000 3.8572
Sm 0.0000 0.0000 19.3614
Ti 0.0000 0.0000 9.7967
Ti 0.0000 0.0000 13.4219
S 0.0000 0.0000 6.8669
S 0.0000 0.0000 16.3517
O 1.9214 0.0000 2.2692
O 1.9214 0.0000 9.3401
O 0.0000 0.0000 11.6093
O 0.0000 1.9214 2.2692
O 0.0000 1.9214 9.3401

---

# 8
8
Lattice="7.3871 0.0000 0.0000 0.0000 3.7366 0.0000 -1.6848 0.0000 8.2571" Properties=species:S:1:pos:R:3 comment="Tl4Hg2AuO, optimized geometry, DFT GGA-PBE" formation_energy_uncorrected_ev_per_atom=-0.217 volume_a3_per_atom=28.49 dos_at_fermi_per_ev_atom=0.260 e_tot_ev_per_fu=-20.0 pbc="T T T"
Tl 1.1008 0.0000 1.4343
Tl 0.3432 1.8683 6.6253
Tl 5.3591 1.8683 1.6317
Tl 4.6015 0.0000 6.8228
Hg -0.8424 0.0000 4.1285
Hg 2.8512 1.8683 4.1285
Au 3.6935 0.0000 0.0000
O 0.0000 1.8683 0.0000

---

# 9
15
Lattice="6.8333 -3.9404 0.0000 6.8333 3.9404 0.0000 -4.5613 0.0000 7.5427" Properties=species:S:1:pos:R:3 comment="K3Er3InS8, optimized geometry, DFT GGA-PBE" formation_energy_uncorrected_ev_per_atom=-1.523 volume_a3_per_atom=27.08 dos_at_fermi_per_ev_atom=0.828 e_tot_ev_per_fu=-75.6 pbc="T T T"
K 0.0000 0.0000 0.0000
K 3.4166 1.9702 0.0000
K 3.4166 -1.9702 0.0000
Er 1.1360 1.9702 3.7714
Er 1.1360 -1.9702 3.7714
Er 4.5527 0.0000 3.7714
In -2.2806 0.0000 3.7714
S -0.0323 0.0000 5.2532
S 3.4266 1.9948 5.2533
S 5.6787 1.9948 2.2894
S 2.2759 0.0000 2.2641
S 6.8295 0.0000 5.2787
S 3.4266 -1.9948 5.2533
S 5.6787 -1.9948 2.2894
S 9.1376 0.0000 2.2895

---

# 10
4
Lattice="0.0000 3.7966 3.7966 3.7966 0.0000 3.7966 3.7966 3.7966 0.0000" Properties=species:S:1:pos:R:3 comment="PrNdCdGa, optimized geometry, DFT GGA-PBE" formation_energy_ev_per_atom=-0.425 volume_a3_per_atom=27.36 dos_at_fermi_per_ev_atom=1.240 e_tot_ev_per_fu=-15.2 pbc="T T T"
Pr 0.0000 0.0000 0.0000
Nd 3.7966 3.7966 3.7966
Cd 5.6948 5.6948 5.6948
Ga 1.8983 1.8983 1.8983

---

# 11
10
Lattice="7.3456 -2.0451 0.0000 7.3456 2.0451 0.0000 -0.8123 0.0000 5.7431" Properties=species:S:1:pos:R:3 comment="ZnAg3Au, optimized geometry, DFT GGA-PBE" formation_energy_ev_per_atom=-0.055 volume_a3_per_atom=17.25 polymorph_energy_ev_per_atom=0.000 dos_at_fermi_per_ev_atom=0.303 e_tot_ev_per_fu=-13.4 pbc="T T T"
Zn 2.6054 0.0000 1.9165
Zn 11.2735 0.0000 3.8266
Ag -0.1977 0.0000 1.4737
Ag 2.3208 0.0000 4.8353
Ag 5.1082 0.0000 5.5363
Ag 8.7707 0.0000 0.2068
Ag 11.5581 0.0000 0.9078
Ag 14.0766 0.0000 4.2694
Au 5.2992 0.0000 2.6580
Au 8.5797 0.0000 3.0851

---

# 12
4
Lattice="0.0000 3.7252 3.7252 3.7252 0.0000 3.7252 3.7252 3.7252 0.0000" Properties=species:S:1:pos:R:3 comment="PrErZnSn, optimized geometry, DFT GGA-PBE" formation_energy_ev_per_atom=-0.490 volume_a3_per_atom=25.85 dos_at_fermi_per_ev_atom=0.476 e_tot_ev_per_fu=-16.6 pbc="T T T"
Pr 0.0000 0.0000 0.0000
Er 3.7252 3.7252 3.7252
Zn 1.8626 1.8626 1.8626
Sn 5.5877 5.5877 5.5877